This record from the Alexandria database describes a relaxed ZrCu2Ru crystal. The functional is GGA-PBE.

total magnetic moment = 0.00 μB/f.u.
ΔE_f = -0.0239 eV/atom

abc: 3.4104 3.4104 5.2086
angles: 90.00 90.00 90.00
With the nearest neighbours (Å) after each atom.
Space group P4/mmm (No. 123)
Inequivalent atoms, fractional coordinates:
1 Zr 0.0000 0.0000 0.0000 x1  2 Ru 2.60, 8 Cu 2.77
2 Cu 0.5000 0.5000 0.2607 x2  2 Cu 2.49-2.72, 4 Ru 2.71, 4 Zr 2.77
3 Ru 0.0000 0.0000 0.5000 x1  2 Zr 2.60, 8 Cu 2.71

***

This record from the Alexandria database describes a relaxed Sb2AuSeI crystal. The functional is GGA-PBE.

total DFT energy (no corrections) = -12.39 eV per cell
total magnetic moment = 0.58 μB/f.u.

abc: 5.4398 5.4398 5.7050
angles: 90.00 90.00 90.00
With the nearest neighbours (Å) after each atom.
Space group P4/mmm (No. 123)
Inequivalent atoms, fractional coordinates:
1 Sb 0.0000 0.5000 0.0000 x2  2 Se 2.72
2 Au 0.0000 0.0000 0.5000 x1  4 I 3.85, 8 Sb 3.94
3 Se 0.5000 0.5000 0.0000 x1  4 Sb 2.72, 2 I 2.85
4 I 0.5000 0.5000 0.5000 x1  2 Se 2.85

***

This record from the Alexandria database describes a relaxed SiW3 crystal. The functional is GGA-PBE.

total DFT energy (no corrections) = -87.22 eV per cell
total magnetic moment = 0.00 μB/f.u.

abc: 4.6483 5.4631 4.8473
angles: 90.00 90.00 90.00
With the nearest neighbours (Å) after each atom.
Space group Pmmn (No. 59, origin choice 2)
Inequivalent atoms, fractional coordinates:
1 Si 0.2500 0.2500 0.1675 x2  12 W 2.73-2.82
2 W 0.2500 0.0050 0.6693 x4  8 W 2.68-2.85, 4 Si 2.76-2.82
3 W 0.2500 0.7500 0.1632 x2  4 Si 2.73-2.82, 8 W 2.77-2.82

***

This record from the Alexandria database describes a relaxed CdGa5Ag6 crystal. The functional is GGA-PBE.

total magnetic moment = 0.00 μB/f.u.
ΔE_f = 0.0224 eV/atom

abc: 9.2663 12.4282 4.1278
angles: 90.00 114.45 90.00
With the nearest neighbours (Å) after each atom.
Space group C2/m (No. 12)
Inequivalent atoms, fractional coordinates:
1 Cd 0.0000 0.0000 0.0000 x2  8 Ag 2.96-3.05, 4 Ga 2.97
2 Ga 0.0000 0.1715 0.5000 x4  2 Ga 2.85, 8 Ag 2.89-3.05, 2 Cd 2.97
3 Ga 0.0000 0.3298 0.0000 x4  4 Ga 2.85-2.95, 8 Ag 2.88-2.98
4 Ga 0.0000 0.5000 0.5000 x2  8 Ag 2.84-2.96, 4 Ga 2.95
5 Ag 0.2411 0.5000 0.2449 x4  6 Ga 2.84-3.05, 4 Ag 2.92-2.94, 2 Cd 2.96-3.05
6 Ag 0.2465 0.3329 0.7475 x8  7 Ga 2.88-3.02, 4 Ag 2.91-2.94, 1 Cd 2.98

***

This record from the Alexandria database describes a relaxed ZnMoBr2 crystal. The functional is GGA-PBE.

total DFT energy (no corrections) = -13.56 eV per cell
total magnetic moment = 0.00 μB/f.u.

abc: 3.2283 4.3989 5.9468
angles: 90.00 99.41 90.00
With the nearest neighbours (Å) after each atom.
Space group P2/m (No. 10)
Inequivalent atoms, fractional coordinates:
1 Zn 0.0000 0.0000 0.0000 x1  4 Br 2.86, 2 Mo 2.97
2 Mo 0.0000 0.0000 0.5000 x1  4 Br 2.65
3 Br 0.2254 0.5000 0.7387 x2  2 Mo 2.65, 2 Zn 2.86, 1 Br 2.97

***

This record from the Alexandria database describes a relaxed Sm2Dy3Y7 crystal. The functional is GGA-PBE.

total magnetic moment = 0.00 μB/f.u.
ΔE_f = 0.0881 eV/atom

abc: 5.8113 3.5976 18.7429
angles: 90.00 93.56 90.00
With the nearest neighbours (Å) after each atom.
Space group P2/m (No. 10)
Inequivalent atoms, fractional coordinates:
1 Sm 0.2061 0.0000 0.2945 x2  3 Y 3.14-3.36
2 Dy 0.0000 0.0000 0.0000 x1  8 Y 3.34-3.42, 2 Dy 3.60
3 Dy 0.2797 0.5000 0.6319 x2  2 Dy 3.60, 8 Y 3.64-3.99, 4 Sm 3.68-3.69
4 Y 0.1817 0.5000 0.1428 x2  2 Dy 3.34, 7 Y 3.35-3.60, 2 Sm 3.36
5 Y 0.2420 0.0000 0.4625 x2  1 Sm 3.14, 2 Y 3.22-3.23
6 Y 0.3147 0.0000 0.8223 x2  8 Y 3.46-3.88, 2 Sm 3.62-3.65
7 Y 0.5000 0.5000 0.0000 x1  4 Y 3.35-3.60, 4 Dy 3.42

***

This record from the Alexandria database describes a relaxed Tl3Hg3Au2 crystal. The functional is GGA-PBE.

total magnetic moment = 0.00 μB/f.u.
ΔE_f = -0.0051 eV/atom

abc: 4.5024 5.4714 9.0878
angles: 99.01 103.32 91.63
With the nearest neighbours (Å) after each atom.
Space group P-1 (No. 2)
Inequivalent atoms, fractional coordinates:
1 Tl 0.0000 0.0000 0.0000 x1  6 Hg 3.19-3.49
2 Tl 0.1529 0.6078 0.3077 x2  4 Au 3.02-3.24, 1 Hg 3.38
3 Hg 0.3683 0.8718 0.7404 x2  3 Au 2.96-3.04, 2 Tl 3.19-3.23
4 Hg 0.5000 0.5000 0.0000 x1  2 Hg 3.31, 8 Tl 3.49-3.59
5 Au 0.2430 0.1772 0.4826 x2  3 Hg 2.96-3.04, 2 Au 2.99-3.05, 4 Tl 3.02-3.24

***

This record from the Alexandria database describes a relaxed K2CdSi2O6 crystal. The functional is GGA-PBE.

total DFT energy (no corrections) = -131.21 eV per cell
total magnetic moment = 0.00 μB/f.u.

abc: 9.9912 5.9009 6.6707
angles: 90.00 115.26 90.00
With the nearest neighbours (Å) after each atom.
Space group C2/m (No. 12)
Inequivalent atoms, fractional coordinates:
1 K 0.1975 0.0000 0.1304 x4  6 O 2.82-3.01
2 Cd 0.0000 0.0000 0.5000 x2  6 O 2.32
3 Si 0.0723 0.5000 0.2750 x4  3 O 1.57-1.59
4 O 0.0194 0.2705 0.7643 x8  1 Si 1.59
5 O 0.2432 0.5000 0.3383 x4  1 Si 1.57

***

This record from the Alexandria database describes a relaxed Cs3SbBr2F6 crystal. The functional is GGA-PBE.

total DFT energy (no corrections) = -97.56 eV per cell
total magnetic moment = 0.00 μB/f.u.

abc: 17.5135 8.4602 5.5039
angles: 90.00 91.76 90.00
With the nearest neighbours (Å) after each atom.
Space group C2/m (No. 12)
Inequivalent atoms, fractional coordinates:
1 Cs 0.0000 0.0000 0.0000 x2  4 F 3.22, 2 Br 3.46
2 Cs 0.2500 0.2500 0.5000 x4  2 F 3.29, 4 Br 3.58-3.60
3 Sb 0.0000 0.5000 0.5000 x2  6 F 1.92-1.93
4 Br 0.1974 0.0000 0.9970 x4  5 Cs 3.46-3.60
5 F 0.0191 0.3364 0.7361 x8  1 Sb 1.92
6 F 0.1074 0.5000 0.4287 x4  1 Sb 1.93

***

This record from the Alexandria database describes a relaxed Er2Tm3Te6 crystal. The functional is GGA-PBE.

total DFT energy (no corrections) = -111.98 eV per cell
total magnetic moment = 0.00 μB/f.u.

abc: 7.4452 12.8152 7.4122
angles: 90.00 109.61 90.00
With the nearest neighbours (Å) after each atom.
Space group C2/m (No. 12)
Inequivalent atoms, fractional coordinates:
1 Er 0.0000 0.1637 0.0000 x4  6 Te 3.02-3.06
2 Tm 0.0000 0.0000 0.5000 x2  6 Te 3.02-3.11
3 Tm 0.0000 0.3292 0.5000 x4  6 Te 3.03-3.08
4 Te 0.2400 0.5000 0.7525 x4  2 Er 3.02, 3 Tm 3.04-3.11
5 Te 0.2417 0.3385 0.2436 x8  3 Tm 3.02-3.08, 2 Er 3.05-3.06

***

This record from the Alexandria database describes a relaxed KHg3P crystal. The functional is GGA-PBE.

total magnetic moment = 0.00 μB/f.u.
ΔE_f = -0.1199 eV/atom

abc: 6.1577 7.1152 7.4149
angles: 104.41 90.63 90.91
With the nearest neighbours (Å) after each atom.
Space group P1 (No. 1)
Inequivalent atoms, fractional coordinates:
1 K 0.0000 0.0000 0.0000 x1  1 P 3.23, 3 Hg 3.40-3.59
2 K 0.2083 0.4046 0.6250 x1  3 P 3.35-3.46, 3 Hg 3.65-3.68
3 Hg 0.0916 0.8613 0.4571 x1  4 Hg 3.16-3.42, 1 P 3.34
4 Hg 0.2684 0.4651 0.1500 x1  4 Hg 3.22-3.41, 1 P 3.23, 1 K 3.59
5 Hg 0.5341 0.9940 0.2399 x1  2 P 2.45-2.46
6 Hg 0.5449 0.9789 0.7205 x1  2 P 2.46-2.47
7 Hg 0.6937 0.5678 0.4160 x1  1 P 3.03, 4 Hg 3.16-3.37
8 Hg 0.7725 0.4626 0.9638 x1  2 P 3.03-3.34, 2 Hg 3.29-3.34
9 P 0.4538 0.7738 0.9327 x1  2 Hg 2.46
10 P 0.6980 0.1881 0.5313 x1  2 Hg 2.45-2.47

***

This record from the Alexandria database describes a relaxed ZrFeAu2 crystal. The functional is GGA-PBE.

total magnetic moment = 1.93 μB/f.u.
ΔE_f = -0.1243 eV/atom

abc: 9.3707 3.3854 4.7103
angles: 90.00 108.47 90.00
With the nearest neighbours (Å) after each atom.
Space group Cm (No. 8)
Inequivalent atoms, fractional coordinates:
1 Zr 0.0000 0.0000 0.0000 x2  2 Fe 2.74, 7 Au 2.86-2.95
2 Fe 0.2642 0.0000 0.7448 x2  2 Zr 2.74, 7 Au 2.75-2.96
3 Au 0.0232 0.5000 0.5260 x2  3 Fe 2.75-2.92, 4 Zr 2.86-2.95, 3 Au 2.89-2.92
4 Au 0.2614 0.5000 0.2584 x2  4 Fe 2.84-2.96, 3 Zr 2.86-2.91, 3 Au 2.89-2.92

***

This record from the Alexandria database describes a relaxed Tb4YAu5 crystal. The functional is GGA-PBE.

total magnetic moment = 0.00 μB/f.u.
ΔE_f = -0.8549 eV/atom

abc: 3.5859 3.5859 18.3427
angles: 90.00 90.00 90.00
With the nearest neighbours (Å) after each atom.
Space group P4/mmm (No. 123)
Inequivalent atoms, fractional coordinates:
1 Tb 0.0000 0.0000 0.1001 x2  8 Au 3.13
2 Tb 0.0000 0.0000 0.3003 x2  8 Au 3.13
3 Y 0.0000 0.0000 0.5000 x1  8 Au 3.13
4 Au 0.5000 0.5000 0.0000 x1  8 Tb 3.13
5 Au 0.5000 0.5000 0.2004 x2  8 Tb 3.13
6 Au 0.5000 0.5000 0.4002 x2  4 Y 3.13, 4 Tb 3.13

***

This record from the Alexandria database describes a relaxed PaPdO6 crystal. The functional is GGA-PBE.

total DFT energy (no corrections) = -55.90 eV per cell
total magnetic moment = 1.00 μB/f.u.

abc: 4.4240 5.2885 5.4604
angles: 71.23 66.94 72.44
With the nearest neighbours (Å) after each atom.
Space group P-1 (No. 2)
Inequivalent atoms, fractional coordinates:
1 Pa 0.0000 0.0000 0.0000 x1  2 O 1.96
2 Pd 0.5000 0.5000 0.5000 x1  6 O 1.94-2.01
3 O 0.1112 0.3786 0.5293 x2  1 O 1.39
4 O 0.2171 0.7406 0.7634 x2  1 Pa 1.96, 1 Pd 2.01
5 O 0.4785 0.8172 0.1846 x2  1 Pd 1.99

***

This record from the Alexandria database describes a relaxed ZnOsPt2 crystal. The functional is GGA-PBE.

total magnetic moment = 0.00 μB/f.u.
ΔE_f = -0.0832 eV/atom

abc: 9.1641 2.7431 4.8210
angles: 90.00 100.46 90.00
With the nearest neighbours (Å) after each atom.
Space group Cm (No. 8)
Inequivalent atoms, fractional coordinates:
1 Zn 0.0000 0.0000 0.0000 x2  7 Pt 2.69-2.81, 2 Zn 2.74, 3 Os 2.76-2.96
2 Os 0.2581 0.0000 0.7105 x2  7 Pt 2.66-2.79, 2 Os 2.74, 3 Zn 2.76-2.96
3 Pt 0.0101 0.5000 0.5118 x2  3 Os 2.66-2.68, 4 Zn 2.74-2.81, 5 Pt 2.74-2.92
4 Pt 0.2479 0.5000 0.2104 x2  3 Zn 2.69, 5 Pt 2.74-2.92, 4 Os 2.76-2.79

***

This record from the Alexandria database describes a relaxed Zr2UPd9 crystal. The functional is GGA-PBE.

total magnetic moment = 2.34 μB/f.u.
ΔE_f = -0.6889 eV/atom

abc: 4.0757 4.0757 12.2298
angles: 90.00 90.00 90.00
With the nearest neighbours (Å) after each atom.
Space group P4/mmm (No. 123)
Inequivalent atoms, fractional coordinates:
1 Zr 0.0000 0.0000 0.1639 x2  12 Pd 2.84-2.88
2 U 0.0000 0.0000 0.5000 x1  12 Pd 2.88-2.95
3 Pd 0.0000 0.5000 0.0000 x2  8 Pd 2.84-2.88, 4 Zr 2.86
4 Pd 0.0000 0.5000 0.3257 x4  2 Zr 2.84, 8 Pd 2.85-2.95, 2 U 2.95
5 Pd 0.5000 0.5000 0.1623 x2  8 Pd 2.84-2.85, 4 Zr 2.88
6 Pd 0.5000 0.5000 0.5000 x1  4 U 2.88, 8 Pd 2.95

***

This record from the Alexandria database describes a relaxed Na2HfMn crystal. The functional is GGA-PBE.

total magnetic moment = 0.00 μB/f.u.
ΔE_f = 1.5173 eV/atom

abc: 6.8277 6.8277 6.8277
angles: 90.00 90.00 90.00
With the nearest neighbours (Å) after each atom.
Space group Fm-3m (No. 225)
Inequivalent atoms, fractional coordinates:
1 Na 0.2500 0.2500 0.2500 x8  4 Hf 2.96, 4 Mn 2.96
2 Hf 0.0000 0.0000 0.0000 x4  8 Na 2.96
3 Mn 0.0000 0.0000 0.5000 x4  8 Na 2.96

***

This record from the Alexandria database describes a relaxed Al2CrSb crystal. The functional is GGA-PBE.

total DFT energy (no corrections) = -40.87 eV per cell
total magnetic moment = 2.91 μB/f.u.

abc: 3.9982 3.9982 8.7609
angles: 90.00 90.00 90.00
With the nearest neighbours (Å) after each atom.
Space group I4/mmm (No. 139)
Inequivalent atoms, fractional coordinates:
1 Al 0.0000 0.5000 0.2500 x4  4 Al 2.83, 4 Cr 2.97, 4 Sb 2.97
2 Cr 0.0000 0.0000 0.0000 x2  4 Sb 2.83, 8 Al 2.97
3 Sb 0.0000 0.0000 0.5000 x2  4 Cr 2.83, 8 Al 2.97

***

This record from the Alexandria database describes a relaxed Rb6AuO crystal. The functional is GGA-PBE.

total DFT energy (no corrections) = -34.91 eV per cell
total magnetic moment = 0.00 μB/f.u.

abc: 8.2753 14.4047 7.8229
angles: 90.00 106.32 90.00
With the nearest neighbours (Å) after each atom.
Space group C2/m (No. 12)
Inequivalent atoms, fractional coordinates:
1 Rb 0.1865 0.1383 0.2299 x8  1 O 2.83
2 Rb 0.2410 0.0000 0.8069 x4  1 O 2.82
3 Au 0.0000 0.5000 0.5000 x2  6 Rb 3.48-3.64
4 O 0.0000 0.0000 0.0000 x2  6 Rb 2.82-2.83

***

This record from the Alexandria database describes a relaxed CuAs2Cl crystal. The functional is GGA-PBE.

total DFT energy (no corrections) = -14.76 eV per cell
total magnetic moment = 0.00 μB/f.u.

abc: 2.6570 3.8329 8.1277
angles: 90.00 90.00 90.00
With the nearest neighbours (Å) after each atom.
Space group Pmmm (No. 47)
Inequivalent atoms, fractional coordinates:
1 Cu 0.0000 0.0000 0.0000 x1  2 Cu 2.66, 8 As 2.68
2 As 0.5000 0.5000 0.1623 x2  3 As 2.64-2.66, 4 Cu 2.68
3 Cl 0.0000 0.0000 0.5000 x1  2 Cl 2.66